(1)
This record from the Alexandria database describes a relaxed Rb3PrSm2S6 crystal. The functional is PBE.

Calculated values
Energy relative to the elements, uncorrected (eV/f.u.): -22.0
Total moment (μB per atom): 0.000
Density (Mg/m³): 4.2
Crystal system: monoclinic

Cell lengths 7.2752, 7.2752, 8.0890 Å; angles 98.62, 98.62, 120.00 degrees
Atoms (fractional coordinates):
S1 0.7273 0.7273 0.1963
S2 0.2727 0.2727 0.8037
S3 0.9345 0.5964 0.8036
S4 0.5964 0.9345 0.8036
S5 0.4036 0.0655 0.1964
S6 0.0655 0.4036 0.1964
Sm1 0.6667 0.3333 0.0000
Sm2 0.3333 0.6667 0.0000
Rb1 0.8339 0.1661 0.5000
Rb2 0.5000 0.5000 0.5000
Rb3 0.1661 0.8339 0.5000
Pr1 0.0000 0.0000 0.0000

=====

(2)
This record from the Alexandria database describes a relaxed Rb2Pr2SnS6 crystal. The functional is PBE.

Calculated values
Energy relative to the elements, uncorrected (eV/f.u.): -15.3
Total moment (μB per atom): 0.000
Density (Mg/m³): 3.7
Crystal system: monoclinic

Cell lengths 7.0760, 7.0760, 8.2705 Å; angles 98.46, 98.46, 119.37 degrees
Atoms (fractional coordinates):
S1 0.9360 0.6258 0.3105
S2 0.0640 0.3742 0.6895
S3 0.7632 0.7632 0.6860
S4 0.6258 0.9360 0.3105
S5 0.2368 0.2368 0.3140
S6 0.3742 0.0640 0.6895
Sn1 0.0000 0.0000 0.5000
Pr1 0.3327 0.6673 0.5000
Pr2 0.6673 0.3327 0.5000
Rb1 0.8296 0.1704 0.0000
Rb2 0.1704 0.8296 0.0000

=====

(3)
This record from the Alexandria database describes a relaxed Rb3Pr2SnS6 crystal. The functional is PBE.

Calculated values
Energy relative to the elements, uncorrected (eV/f.u.): -17.1
Total moment (μB per atom): 0.000
Density (Mg/m³): 4.0
Crystal system: monoclinic

Cell lengths 7.2925, 7.2925, 8.0726 Å; angles 98.66, 98.66, 120.00 degrees
Atoms (fractional coordinates):
S1 0.9346 0.6103 0.8039
S2 0.0654 0.3897 0.1961
S3 0.7411 0.7411 0.1961
S4 0.2589 0.2589 0.8039
S5 0.6103 0.9346 0.8039
S6 0.3897 0.0654 0.1961
Pr1 0.3333 0.6667 0.0000
Pr2 0.6667 0.3333 0.0000
Sn1 0.0000 0.0000 0.0000
Rb1 0.1666 0.8334 0.5000
Rb2 0.8334 0.1666 0.5000
Rb3 0.5000 0.5000 0.5000

=====

(4)
This record from the Alexandria database describes a relaxed Rb4Pr3SnS8 crystal. The functional is PBE.

Calculated values
Energy relative to the elements, uncorrected (eV/f.u.): -24.4
Total moment (μB per atom): 0.000
Density (Mg/m³): 4.0
Crystal system: trigonal

Cell lengths 8.4440, 9.1211, 8.4440 Å; angles 117.59, 120.00, 90.00 degrees
Atoms (fractional coordinates):
Pr1 0.5000 0.5000 0.0000
Pr2 0.0000 0.5000 0.5000
Pr3 0.5000 0.5000 0.5000
Rb1 0.0000 0.0000 0.5000
Rb2 0.5000 0.0000 0.0000
Rb3 0.5000 0.0000 0.5000
Rb4 0.0000 0.0000 0.0000
S1 0.2598 0.3048 0.0322
S2 0.7334 0.7000 0.4667
S3 0.2276 0.6953 0.4553
S4 0.7724 0.3047 0.5447
S5 0.2666 0.3000 0.5333
S6 0.7402 0.6952 0.9678
S7 0.2276 0.6952 0.9678
S8 0.7724 0.3048 0.0322
Sn1 0.0000 0.5000 0.0000

=====

(5)
This record from the Alexandria database describes a relaxed RbPrSnS3 crystal. The functional is PBE.

Calculated values
Energy relative to the elements, uncorrected (eV/f.u.): -8.0
Total moment (μB per atom): 0.000
Density (Mg/m³): 3.6
Crystal system: monoclinic

Cell lengths 4.1679, 8.4948, 11.8888 Å; angles 107.18, 90.00, 90.00 degrees
Atoms (fractional coordinates):
Rb1 0.7500 0.7755 0.7476
Rb2 0.2500 0.2245 0.2524
S1 0.2500 0.5946 0.8989
S2 0.2500 0.1067 0.7737
S3 0.7500 0.4054 0.1011
S4 0.7500 0.3597 0.6118
S5 0.7500 0.8933 0.2263
S6 0.2500 0.6403 0.3882
Sn1 0.7500 0.8428 0.4285
Sn2 0.2500 0.1572 0.5715
Pr1 0.2500 0.6455 0.1446
Pr2 0.7500 0.3545 0.8554

=====

(6)
This record from the Alexandria database describes a relaxed Rb2PrSnS4 crystal. The functional is PBE.

Calculated values
Energy relative to the elements, uncorrected (eV/f.u.): -9.9
Total moment (μB per atom): 0.000
Density (Mg/m³): 4.0
Crystal system: monoclinic

Cell lengths 4.1738, 8.0641, 7.2534 Å; angles 72.67, 90.00, 90.00 degrees
Atoms (fractional coordinates):
S1 0.5000 0.3034 0.7411
S2 0.0000 0.6929 0.7767
S3 0.0000 0.3071 0.2233
S4 0.5000 0.6966 0.2589
Pr1 0.0000 0.5000 0.5000
Rb1 0.0000 0.0000 0.0000
Rb2 0.5000 0.0000 0.5000
Sn1 0.5000 0.5000 0.0000

=====

(7)
This record from the Alexandria database describes a relaxed Rb3Pr3TaS8 crystal. The functional is PBE.

Calculated values
Energy relative to the elements, uncorrected (eV/f.u.): -23.9
Total moment (μB per atom): 0.042
Density (Mg/m³): 4.1
Crystal system: trigonal

Cell lengths 8.1630, 8.1630, 9.1964 Å; angles 116.36, 90.00, 120.00 degrees
Each line ends with the local moment (μB).
Atoms (fractional coordinates):
Rb1 0.0000 0.0000 0.0000  0.00
Rb2 0.0000 0.5000 0.0000  0.00
Rb3 0.5000 0.5000 0.0000  0.00
S1 0.2344 0.0258 0.3175  0.00
S2 0.7914 0.5828 0.3174  0.00
S3 0.2086 0.4172 0.6826  0.00
S4 0.2653 0.5307 0.2962  0.00
S5 0.7656 0.9742 0.6825  0.00
S6 0.7347 0.4693 0.7038  0.00
S7 0.2085 0.9742 0.6825  0.00
S8 0.7915 0.0258 0.3175  0.00
Ta1 0.0000 0.0000 0.5000  0.35
Pr1 0.0000 0.5000 0.5000  0.02
Pr2 0.5000 0.0000 0.5000  0.02
Pr3 0.5000 0.5000 0.5000  0.02

=====

(8)
This record from the Alexandria database describes a relaxed RbTb4PrS8 crystal. The functional is PBE.

Calculated values
Energy relative to the elements, uncorrected (eV/f.u.): -26.5
Total moment (μB per atom): 0.000
Density (Mg/m³): 4.5
Crystal system: trigonal

Cell lengths 8.2986, 8.2986, 8.4328 Å; angles 60.53, 60.53, 60.00 degrees
Atoms (fractional coordinates):
S1 0.7532 0.2316 0.2620
S2 0.2297 0.2297 0.3110
S3 0.2378 0.2378 0.7206
S4 0.2316 0.7532 0.2620
S5 0.7532 0.7532 0.2620
S6 0.8038 0.2378 0.7206
S7 0.2378 0.8038 0.7206
S8 0.7568 0.7568 0.7295
Tb1 0.0041 0.0041 0.5046
Tb2 0.0041 0.4873 0.5046
Tb3 0.6256 0.6256 0.1233
Tb4 0.4873 0.0041 0.5046
Rb1 0.3706 0.3706 0.8882
Pr1 0.0046 0.0046 0.9863

=====

(9)
This record from the Alexandria database describes a relaxed Rb3Pr3TcS8 crystal. The functional is PBE.

Calculated values
Energy relative to the elements, uncorrected (eV/f.u.): -21.7
Total moment (μB per atom): 0.200
Density (Mg/m³): 3.8
Crystal system: trigonal

Cell lengths 8.1917, 8.1912, 9.1653 Å; angles 116.55, 90.00, 120.00 degrees
Each line ends with the local moment (μB).
Atoms (fractional coordinates):
Rb1 0.5000 0.5000 0.0000  0.00
Rb2 0.0000 0.0000 0.0000  0.00
Rb3 0.0000 0.5000 0.0000  0.00
Pr1 0.5000 0.5000 0.5000  0.02
Pr2 0.0000 0.5000 0.5000  0.02
Pr3 0.5000 0.0000 0.5000  0.02
S1 0.2071 0.4141 0.6804  0.03
S2 0.2070 0.9734 0.6804  0.03
S3 0.2337 0.0266 0.3196  0.03
S4 0.7930 0.0266 0.3196  0.03
S5 0.7929 0.5859 0.3196  0.03
S6 0.7663 0.9734 0.6804  0.03
S7 0.2664 0.5329 0.2994  0.01
S8 0.7336 0.4671 0.7006  0.01
Tc1 0.0000 0.0000 0.5000  2.28

=====

(10)
This record from the Alexandria database describes a relaxed Rb4Pr3ThS8 crystal. The functional is PBE.

Calculated values
Energy relative to the elements, uncorrected (eV/f.u.): -28.5
Total moment (μB per atom): 0.000
Density (Mg/m³): 4.3
Crystal system: trigonal

Cell lengths 8.4560, 9.1461, 8.4561 Å; angles 117.54, 120.00, 90.00 degrees
Atoms (fractional coordinates):
S1 0.2287 0.6990 0.4574
S2 0.2287 0.6990 0.9704
S3 0.2662 0.2985 0.5323
S4 0.7338 0.7015 0.4677
S5 0.7417 0.6990 0.9704
S6 0.2583 0.3010 0.0296
S7 0.7713 0.3010 0.5426
S8 0.7713 0.3010 0.0296
Th1 0.0000 0.5000 0.0000
Rb1 0.5000 0.0000 0.5000
Rb2 0.5000 0.0000 0.0000
Rb3 0.0000 0.0000 0.5000
Rb4 0.0000 0.0000 0.0000
Pr1 0.5000 0.5000 0.5000
Pr2 0.0000 0.5000 0.5000
Pr3 0.5000 0.5000 0.0000

=====

(11)
This record from the Alexandria database describes a relaxed Rb3Pr2ThS6 crystal. The functional is PBE.

Calculated values
Energy relative to the elements, uncorrected (eV/f.u.): -21.3
Total moment (μB per atom): 0.000
Density (Mg/m³): 4.5
Crystal system: monoclinic

Cell lengths 7.3042, 7.3042, 8.1169 Å; angles 98.63, 98.63, 120.00 degrees
Atoms (fractional coordinates):
S1 0.6090 0.9334 0.8000
S2 0.9334 0.6090 0.8000
S3 0.7426 0.7426 0.2004
S4 0.2574 0.2574 0.7996
S5 0.0666 0.3910 0.2000
S6 0.3910 0.0666 0.2000
Rb1 0.8312 0.1688 0.5000
Rb2 0.5000 0.5000 0.5000
Rb3 0.1688 0.8312 0.5000
Th1 0.0000 0.0000 0.0000
Pr1 0.6665 0.3335 0.0000
Pr2 0.3335 0.6665 0.0000

=====

(12)
This record from the Alexandria database describes a relaxed Rb4Pr3TiS8 crystal. The functional is PBE.

Calculated values
Energy relative to the elements, uncorrected (eV/f.u.): -26.0
Total moment (μB per atom): 0.063
Density (Mg/m³): 3.9
Crystal system: trigonal

Cell lengths 8.2636, 9.0608, 8.2643 Å; angles 117.15, 120.00, 90.00 degrees
Each line ends with the local moment (μB).
Atoms (fractional coordinates):
S1 0.7346 0.7035 0.4692  0.00
S2 0.2654 0.2965 0.5308  0.00
S3 0.7837 0.3107 0.5674  -0.01
S4 0.2163 0.6893 0.4326  -0.01
S5 0.7570 0.6892 0.9732  -0.01
S6 0.7838 0.3108 0.0268  -0.01
S7 0.2162 0.6892 0.9732  -0.01
S8 0.2430 0.3108 0.0268  -0.01
Rb1 0.5000 0.0000 0.5000  0.00
Rb2 0.0000 0.0000 0.0000  0.00
Rb3 0.5000 0.0000 0.0000  0.00
Rb4 0.0000 0.0000 0.5000  0.00
Pr1 0.5000 0.5000 0.0000  0.01
Pr2 0.5000 0.5000 0.5000  0.01
Pr3 0.0000 0.5000 0.5000  0.01
Ti1 0.0000 0.5000 0.0000  0.84

=====

(13)
This record from the Alexandria database describes a relaxed Rb3Pr3TiS8 crystal. The functional is PBE.

Calculated values
Energy relative to the elements, uncorrected (eV/f.u.): -25.0
Total moment (μB per atom): 0.000
Density (Mg/m³): 3.6
Crystal system: trigonal

Cell lengths 8.1788, 8.1816, 9.1679 Å; angles 116.52, 90.00, 119.99 degrees
Atoms (fractional coordinates):
S1 0.7923 0.0270 0.3195
S2 0.7923 0.5846 0.3195
S3 0.2077 0.9730 0.6805
S4 0.2346 0.0270 0.3195
S5 0.7338 0.4675 0.7011
S6 0.2077 0.4154 0.6805
S7 0.2662 0.5325 0.2989
S8 0.7654 0.9730 0.6805
Rb1 0.0000 0.0000 0.0000
Rb2 0.0000 0.5000 0.0000
Rb3 0.5000 0.5000 0.0000
Pr1 0.5000 0.0000 0.5000
Pr2 0.0000 0.5000 0.5000
Pr3 0.5000 0.5000 0.5000
Ti1 0.0000 0.0000 0.5000

=====

(14)
This record from the Alexandria database describes a relaxed Rb2PrTiS4 crystal. The functional is PBE.

Calculated values
Energy relative to the elements, uncorrected (eV/f.u.): -11.1
Total moment (μB per atom): 0.125
Density (Mg/m³): 3.0
Crystal system: tetragonal

Cell lengths 7.1404, 7.1404, 7.1404 Å; angles 95.54, 116.86, 116.86 degrees
Each line ends with the local moment (μB).
Atoms (fractional coordinates):
S1 0.9354 0.5549 0.1602  -0.01
S2 0.6053 0.3804 0.4451  -0.01
S3 0.0646 0.2248 0.6196  -0.01
S4 0.3947 0.8398 0.7752  -0.01
Rb1 0.0000 0.0000 0.0000  0.00
Rb2 0.5000 0.7500 0.2500  0.00
Pr1 0.5000 0.2500 0.7500  0.04
Ti1 0.0000 0.5000 0.5000  0.80

=====

(15)
This record from the Alexandria database describes a relaxed Rb2PrTlS4 crystal. The functional is PBE.

Calculated values
Energy relative to the elements, uncorrected (eV/f.u.): -8.8
Total moment (μB per atom): 0.000
Density (Mg/m³): 4.5
Crystal system: monoclinic

Cell lengths 8.6774, 8.6774, 8.6764 Å; angles 118.39, 118.39, 92.86 degrees
Atoms (fractional coordinates):
Rb1 0.0000 0.0000 0.5000
Rb2 0.5000 0.0000 0.0000
Rb3 0.5000 0.5000 0.0000
Rb4 0.5000 0.0000 0.5000
S1 0.7744 0.2927 0.5404
S2 0.2636 0.2898 0.4855
S3 0.2073 0.7256 0.9596
S4 0.7364 0.7102 0.5145
S5 0.7927 0.2744 0.0404
S6 0.7898 0.7636 0.9855
S7 0.2102 0.2364 0.0145
S8 0.2256 0.7073 0.4596
Tl1 0.5000 0.5000 0.5000
Tl2 0.0000 0.0000 0.0000
Pr1 0.0000 0.5000 0.5000
Pr2 0.0000 0.5000 0.0000

=====

(16)
This record from the Alexandria database describes a relaxed Rb4PrU3S8 crystal. The functional is PBE.

Calculated values
Energy relative to the elements, uncorrected (eV/f.u.): -23.3
Total moment (μB per atom): 0.563
Density (Mg/m³): 5.3
Crystal system: trigonal

Cell lengths 8.2439, 9.0896, 8.2439 Å; angles 116.97, 120.00, 90.00 degrees
Each line ends with the local moment (μB).
Atoms (fractional coordinates):
S1 0.7631 0.3037 0.0406  -0.04
S2 0.2369 0.6963 0.4739  -0.04
S3 0.7225 0.6963 0.9594  -0.04
S4 0.2369 0.6963 0.9594  -0.04
S5 0.7304 0.6912 0.4608  -0.06
S6 0.7631 0.3037 0.5261  -0.04
S7 0.2696 0.3088 0.5392  -0.06
S8 0.2775 0.3037 0.0406  -0.04
Rb1 0.5000 0.0000 0.0000  0.01
Rb2 0.0000 0.0000 0.0000  0.01
Rb3 0.0000 0.0000 0.5000  0.01
Rb4 0.5000 0.0000 0.5000  0.01
U1 0.5000 0.5000 0.5000  2.62
U2 0.0000 0.5000 0.5000  2.62
U3 0.5000 0.5000 0.0000  2.62
Pr1 0.0000 0.5000 0.0000  0.16

=====

(17)
This record from the Alexandria database describes a relaxed Rb4PrU3S12 crystal. The functional is PBE.

Calculated values
Energy relative to the elements, uncorrected (eV/f.u.): -27.4
Total moment (μB per atom): 0.053
Density (Mg/m³): 4.5
Crystal system: cubic

Cell lengths 9.1302, 9.1302, 9.1302 Å; angles 109.47, 109.47, 109.47 degrees
Each line ends with the local moment (μB).
Atoms (fractional coordinates):
U1 0.5000 0.0000 0.5000  0.49
U2 0.0000 0.5000 0.5000  0.49
U3 0.5000 0.5000 0.0000  0.49
S1 0.0000 0.7356 0.7356  -0.02
S2 0.2500 0.5000 0.7500  -0.03
S3 0.2644 0.2644 0.0000  -0.02
S4 0.7356 0.7356 0.0000  -0.02
S5 0.7500 0.5000 0.2500  -0.03
S6 0.2500 0.7500 0.5000  -0.03
S7 0.5000 0.2500 0.7500  -0.03
S8 0.0000 0.2644 0.2644  -0.02
S9 0.7500 0.2500 0.5000  -0.03
S10 0.5000 0.7500 0.2500  -0.03
S11 0.7356 0.0000 0.7356  -0.02
S12 0.2644 0.0000 0.2644  -0.02
Rb1 0.0000 0.5000 0.0000  0.00
Rb2 0.0000 0.0000 0.5000  0.00
Rb3 0.5000 0.5000 0.5000  0.00
Rb4 0.5000 0.0000 0.0000  0.00
Pr1 0.0000 0.0000 0.0000  -0.01

=====

(18)
This record from the Alexandria database describes a relaxed Rb4Pr3US8 crystal. The functional is PBE.

Calculated values
Energy relative to the elements, uncorrected (eV/f.u.): -27.0
Total moment (μB per atom): 0.188
Density (Mg/m³): 4.4
Crystal system: trigonal

Cell lengths 8.4455, 9.1280, 8.4455 Å; angles 117.56, 120.00, 90.00 degrees
Each line ends with the local moment (μB).
Atoms (fractional coordinates):
Rb1 0.5000 0.0000 0.5000  0.00
Rb2 0.5000 0.0000 0.0000  0.00
Rb3 0.0000 0.0000 0.5000  0.00
Rb4 0.0000 0.0000 0.0000  0.00
S1 0.2584 0.3039 0.0311  -0.02
S2 0.7416 0.6961 0.9689  -0.02
S3 0.7728 0.3039 0.5456  -0.02
S4 0.2272 0.6961 0.9689  -0.02
S5 0.2664 0.2993 0.5329  0.00
S6 0.2272 0.6961 0.4544  -0.02
S7 0.7336 0.7007 0.4671  0.00
S8 0.7728 0.3039 0.0311  -0.02
U1 0.0000 0.5000 0.0000  2.52
Pr1 0.5000 0.5000 0.0000  0.06
Pr2 0.5000 0.5000 0.5000  0.06
Pr3 0.0000 0.5000 0.5000  0.06

=====

(19)
This record from the Alexandria database describes a relaxed Rb3PrU2S6 crystal. The functional is PBE.

Calculated values
Energy relative to the elements, uncorrected (eV/f.u.): -18.0
Total moment (μB per atom): 0.501
Density (Mg/m³): 5.1
Crystal system: monoclinic

Cell lengths 7.1643, 7.1643, 8.1011 Å; angles 98.48, 98.48, 120.01 degrees
Each line ends with the local moment (μB).
Atoms (fractional coordinates):
Rb1 0.1642 0.8358 0.5000  0.01
Rb2 0.5000 0.5000 0.5000  0.01
Rb3 0.8358 0.1642 0.5000  0.01
S1 0.2802 0.2802 0.8051  -0.05
S2 0.5895 0.9347 0.8044  -0.05
S3 0.0653 0.4105 0.1956  -0.05
S4 0.9347 0.5895 0.8044  -0.05
S5 0.4105 0.0653 0.1956  -0.05
S6 0.7198 0.7198 0.1949  -0.05
U1 0.6669 0.3331 0.0000  2.59
U2 0.3331 0.6669 0.0000  2.59
Pr1 0.0000 0.0000 0.0000  0.16